Here is a relaxed YFePb2 crystal from OQMD via LeMat-Bulk. Energies are from PBE.

Calculated values
The size of the total moment comes out at 0.54 μB per atom. The relative energy among the computed polymorphs comes out at 0.000 eV/atom.

a = 5.2235 Å, b = 5.2235 Å, c = 5.2235 Å
α = 60.00°, β = 60.00°, γ = 60.00°
Positions (direct):
Fe 0.2500 0.2500 0.2500
Pb 0.0000 0.0000 0.0000
Pb 0.7500 0.7500 0.7500
Y 0.5000 0.5000 0.5000



Here is a relaxed YZnFePb crystal from OQMD via LeMat-Bulk. Energies are from PBE.

Calculated values
The size of the total moment comes out at 0.50 μB per atom. The relative energy among the computed polymorphs comes out at 0.023 eV/atom.

a = 4.8632 Å, b = 4.8632 Å, c = 4.8632 Å
α = 60.00°, β = 60.00°, γ = 60.00°
Positions (direct):
Fe 0.7500 0.7500 0.7500
Pb 0.0000 0.0000 0.0000
Y 0.5000 0.5000 0.5000
Zn 0.2500 0.2500 0.2500



Here is a relaxed YZnFePb crystal from OQMD via LeMat-Bulk. Energies are from PBE.

Calculated values
The size of the total moment comes out at 0.61 μB per atom. The relative energy among the computed polymorphs comes out at 0.000 eV/atom.

a = 4.8923 Å, b = 4.8923 Å, c = 4.8923 Å
α = 60.00°, β = 60.00°, γ = 60.00°
Positions (direct):
Fe 0.7500 0.7500 0.7500
Pb 0.0000 0.0000 0.0000
Y 0.2500 0.2500 0.2500
Zn 0.5000 0.5000 0.5000



Here is a relaxed YZrFePb crystal from OQMD via LeMat-Bulk. Energies are from PBE.

Calculated values
The size of the total moment comes out at 0.17 μB per atom. The relative energy among the computed polymorphs comes out at 0.000 eV/atom.

a = 4.9454 Å, b = 4.9454 Å, c = 4.9454 Å
α = 60.00°, β = 60.00°, γ = 60.00°
Positions (direct):
Fe 0.7500 0.7500 0.7500
Pb 0.0000 0.0000 0.0000
Y 0.2500 0.2500 0.2500
Zr 0.5000 0.5000 0.5000



Here is a relaxed ZrZnFePb crystal from OQMD via LeMat-Bulk. Energies are from PBE.

Calculated values
The size of the total moment comes out at 0.34 μB per atom. The relative energy among the computed polymorphs comes out at 0.000 eV/atom.

a = 4.6849 Å, b = 4.6849 Å, c = 4.6849 Å
α = 60.00°, β = 60.00°, γ = 60.00°
Positions (direct):
Fe 0.7500 0.7500 0.7500
Pb 0.0000 0.0000 0.0000
Zn 0.2500 0.2500 0.2500
Zr 0.5000 0.5000 0.5000



Here is a relaxed ZrZnFePb crystal from OQMD via LeMat-Bulk. Energies are from PBE.

Calculated values
The size of the total moment comes out at 0.49 μB per atom. The relative energy among the computed polymorphs comes out at 0.074 eV/atom.

a = 4.7185 Å, b = 4.7185 Å, c = 4.7185 Å
α = 60.00°, β = 60.00°, γ = 60.00°
Positions (direct):
Fe 0.7500 0.7500 0.7500
Pb 0.0000 0.0000 0.0000
Zn 0.5000 0.5000 0.5000
Zr 0.2500 0.2500 0.2500



Here is a relaxed Zr5FePb3 crystal from OQMD via LeMat-Bulk. Energies are from PBE.

Calculated values
The raw total energy comes out at -129.10 eV for the cell shown. The size of the total moment comes out at 0.01 μB per atom.

a = 8.8349 Å, b = 8.8349 Å, c = 5.8962 Å
α = 90.00°, β = 90.00°, γ = 120.00°
Positions (direct):
Fe 0.0000 0.0000 0.0000
Fe 0.0000 0.0000 0.5000
Pb 0.6010 0.0000 0.2500
Pb 0.3990 0.3990 0.2500
Pb 0.0000 0.6010 0.2500
Pb 0.3990 0.0000 0.7500
Pb 0.0000 0.3990 0.7500
Pb 0.6010 0.6010 0.7500
Zr 0.6667 0.3333 0.0000
Zr 0.3333 0.6667 0.0000
Zr 0.2375 0.0000 0.2500
Zr 0.0000 0.2375 0.2500
Zr 0.7625 0.7625 0.2500
Zr 0.6667 0.3333 0.5000
Zr 0.3333 0.6667 0.5000
Zr 0.7625 0.0000 0.7500
Zr 0.2375 0.2375 0.7500
Zr 0.0000 0.7625 0.7500



Here is a relaxed Fe3Pd crystal from OQMD via LeMat-Bulk. Energies are from PBE.

Calculated values
The size of the total moment comes out at 2.16 μB per atom. The energy of formation is 0.07 eV/atom.

a = 4.1652 Å, b = 4.1652 Å, c = 4.1652 Å
α = 60.00°, β = 60.00°, γ = 60.00°
Last column: magnetic moment on the atom in μB.
Positions (direct):
Fe 0.0000 0.0000 0.0000  2.87
Fe 0.2500 0.2500 0.2500  2.51
Fe 0.5000 0.5000 0.5000  2.87
Pd 0.7500 0.7500 0.7500  0.44



Here is a relaxed FePd2 crystal from OQMD via LeMat-Bulk. Energies are from PBE.

Calculated values
The size of the total moment comes out at 1.17 μB per atom. The energy of formation is 0.35 eV/atom.

a = 5.1321 Å, b = 5.1321 Å, c = 5.1321 Å
α = 60.00°, β = 60.00°, γ = 60.00°
Last column: magnetic moment on the atom in μB.
Positions (direct):
Fe 0.0000 0.0000 0.0000  3.23
Fe 0.2500 0.2500 0.2500  3.23
Pd 0.6250 0.6250 0.1250  0.19
Pd 0.6250 0.1250 0.6250  0.19
Pd 0.1250 0.6250 0.6250  0.08
Pd 0.6250 0.6250 0.6250  0.18



Here is a relaxed Fe2Pd crystal from OQMD via LeMat-Bulk. Energies are from PBE.

Calculated values
The size of the total moment comes out at 2.57 μB per atom. The energy of formation is 2.22 eV/atom.

a = 7.7246 Å, b = 7.7246 Å, c = 7.7246 Å
α = 60.00°, β = 60.00°, γ = 60.00°
Last column: magnetic moment on the atom in μB.
Positions (direct):
Fe 0.8750 0.8750 0.3750  3.50
Fe 0.8750 0.3750 0.8750  3.40
Fe 0.3750 0.8750 0.8750  3.27
Fe 0.8750 0.8750 0.8750  3.46
Pd 0.0000 0.0000 0.0000  0.33
Pd 0.7500 0.7500 0.7500  0.33



Here is a relaxed Fe2Pd crystal from OQMD via LeMat-Bulk. Energies are from PBE.

Calculated values
The size of the total moment comes out at 2.22 μB per atom. The energy of formation is 1.07 eV/atom.

a = 5.2252 Å, b = 5.2252 Å, c = 4.0636 Å
α = 90.00°, β = 90.00°, γ = 90.00°
Last column: magnetic moment on the atom in μB.
Positions (direct):
Fe 0.3228 0.3228 0.0000  3.08
Fe 0.6772 0.6772 0.0000  3.08
Fe 0.8228 0.1772 0.5000  3.16
Fe 0.1772 0.8228 0.5000  3.16
Pd 0.0000 0.0000 0.0000  0.40
Pd 0.5000 0.5000 0.5000  0.43



Here is a relaxed FePd2 crystal from OQMD via LeMat-Bulk. Energies are from PBE.

Calculated values
The size of the total moment comes out at 1.33 μB per atom. The energy of formation is 1.91 eV/atom.

a = 7.3111 Å, b = 7.3111 Å, c = 7.3111 Å
α = 60.00°, β = 60.00°, γ = 60.00°
Last column: magnetic moment on the atom in μB.
Positions (direct):
Fe 0.2500 0.2500 0.2500  2.99
Fe 0.5000 0.5000 0.5000  2.99
Pd 0.3750 0.3750 0.3750  0.45
Pd 0.3750 0.8750 0.3750  0.43
Pd 0.8750 0.3750 0.3750  0.49
Pd 0.3750 0.3750 0.8750  0.44